HfC3N | PBE | relaxed

Unit cell a=4.3778 b=4.3778 c=4.3778 alpha=90.00 beta=90.00 gamma=90.00
Closest atoms and distances in Å follow each position.
Element x y z (fractional)
Hf 0.0000 0.0000 0.0000  6 C 2.19
C 0.0000 0.0000 0.5000  2 Hf 2.19
C 0.0000 0.5000 0.0000  2 Hf 2.19
C 0.5000 0.0000 0.0000  2 Hf 2.19
N 0.5000 0.5000 0.5000  12 C 3.10

Computed properties:
E above lowest polymorph in meV per atom: 1109
Magnetic moment in μB per atom: 0.54
Total DFT energy (no corrections) in eV per formula unit: -29.353

Li2CoIr | PBE | relaxed

Unit cell a=4.7758 b=4.7758 c=4.7374 alpha=113.48 beta=113.48 gamma=31.22
Closest atoms and distances in Å follow each position.
Element x y z (fractional)
Li 0.0000 0.0000 0.0000  5 Li 2.38-2.61
Li 0.2399 0.2399 0.9229  5 Li 2.38-2.61, 2 Co 2.65
Co 0.7449 0.7449 0.4390  3 Ir 2.48-2.49, 2 Co 2.57, 7 Li 2.65-2.75
Ir 0.4848 0.4848 0.4844  3 Co 2.48-2.49, 2 Ir 2.57, 7 Li 2.68-2.73

Computed properties:
E above lowest polymorph in meV per atom: 35
Magnetic moment in μB per atom: 0.25
Calculated formation energy in kcal/mol of atoms: -0.7
Total DFT energy (no corrections) in eV per formula unit: -19.914

Ta2TlRe | PBE | relaxed

Unit cell a=2.9372 b=2.9372 c=9.2923 alpha=90.00 beta=90.00 gamma=111.55
Closest atoms and distances in Å follow each position.
Element x y z (fractional)
Ta 0.0000 0.0000 0.2269  2 Re 2.68, 4 Ta 2.94
Ta 0.0000 0.0000 0.7731  2 Re 2.68, 4 Ta 2.94
Tl 0.5000 0.5000 0.5000  4 Tl 2.94, 4 Ta 3.03
Re 0.5000 0.5000 0.0000  4 Ta 2.68, 4 Re 2.94

Computed properties:
E above lowest polymorph in meV per atom: 61
Magnetic moment in μB per atom: 0.00
Calculated formation energy in kcal/mol of atoms: 6.1
Total DFT energy (no corrections) in eV per formula unit: -37.455

Zr2AgIr2 | PBE | relaxed

Unit cell a=6.2420 b=6.2420 c=6.2420 alpha=137.84 beta=137.84 gamma=61.15
Closest atoms and distances in Å follow each position.
Element x y z (fractional)
Zr 0.2500 0.7500 0.5000  4 Ir 2.66
Zr 0.7500 0.2500 0.5000  4 Ir 2.66
Ag 0.0000 0.0000 0.0000  8 Ir 3.41, 8 Zr 3.50
Ir 0.3833 0.3833 0.0000  1 Ir 2.51, 4 Zr 2.66
Ir 0.6167 0.6167 0.0000  1 Ir 2.51, 4 Zr 2.66

Computed properties:
E above lowest polymorph in meV per atom: 263
Magnetic moment in μB per atom: 0.00
Calculated formation energy in kcal/mol of atoms: -7.4
Total DFT energy (no corrections) in eV per formula unit: -39.274